(1)
RbNbIO2: relaxed, PBE.

Formation energy from raw total energies in eV per atom: 1.234
D(E_F) in states/eV per atom: 1.43
Theoretical density in g/cm³: 4.6

Lattice parameters (Å, degrees): 4.4155 4.4155 6.2753 90.00 90.00 90.00
Positions (direct):
Rb 0.0000 0.0000 0.0000
Nb 0.5000 0.5000 0.5000
I 0.0000 0.0000 0.5000
O 0.0000 0.5000 0.0000
O 0.5000 0.0000 0.0000

(2)
Ba2Li3Mg12Ag: relaxed, PBE.

E in eV for the cell shown: -29.4
D(E_F) in states/eV per atom: 0.65
Theoretical density in g/cm³: 2.3

Lattice parameters (Å, degrees): 12.1243 12.1243 12.1243 34.55 34.55 34.55
Positions (direct):
Ba 0.1439 0.1439 0.1439
Ba 0.8561 0.8561 0.8561
Li 0.0000 0.5000 0.5000
Li 0.5000 0.0000 0.5000
Li 0.5000 0.5000 0.0000
Mg 0.0901 0.0901 0.6806
Mg 0.0901 0.6806 0.0901
Mg 0.1356 0.5850 0.5850
Mg 0.3194 0.9099 0.9099
Mg 0.4150 0.4150 0.8644
Mg 0.4150 0.8644 0.4150
Mg 0.5850 0.1356 0.5850
Mg 0.5850 0.5850 0.1356
Mg 0.6806 0.0901 0.0901
Mg 0.8644 0.4150 0.4150
Mg 0.9099 0.3194 0.9099
Mg 0.9099 0.9099 0.3194
Ag 0.5000 0.5000 0.5000

(3)
Mn2IrRu: relaxed, PBE.

E in eV for the cell shown: -36.5
D(E_F) in states/eV per atom: 1.20
Theoretical density in g/cm³: 13.0

Lattice parameters (Å, degrees): 4.5553 4.5553 4.5197 99.61 99.61 33.90
Positions (direct):
Mn 0.0000 0.0000 0.0000
Mn 0.2488 0.2488 0.7424
Ir 0.7495 0.7495 0.2344
Ru 0.5000 0.5000 0.5148

(4)
Te2Pt2N: relaxed, PBE.

Formation energy from raw total energies in eV per atom: 0.817
D(E_F) in states/eV per atom: 0.74
Theoretical density in g/cm³: 11.4

Lattice parameters (Å, degrees): 6.8891 6.8891 4.0335 90.00 90.00 90.00
Positions (direct):
Te 0.1908 0.3092 0.0000
Te 0.3092 0.8092 0.0000
Te 0.6908 0.1908 0.0000
Te 0.8092 0.6908 0.0000
Pt 0.1346 0.6346 0.5000
Pt 0.3654 0.1346 0.5000
Pt 0.6346 0.8654 0.5000
Pt 0.8654 0.3654 0.5000
N 0.0000 0.0000 0.0000
N 0.5000 0.5000 0.0000

(5)
FeIr2Au: relaxed, PBE.

E in eV for the cell shown: -28.0
D(E_F) in states/eV per atom: 1.40
Theoretical density in g/cm³: 17.5

Lattice parameters (Å, degrees): 5.3889 5.3889 5.3889 149.92 128.83 60.51
Positions (direct):
Fe 0.0000 0.0000 0.0000
Ir 0.2362 0.7362 0.5000
Ir 0.4785 0.4785 0.0000
Au 0.7458 0.2458 0.5000

(6)
PuB2W: relaxed, PBE.

E in eV for the cell shown: -40.5
D(E_F) in states/eV per atom: 1.81
Theoretical density in g/cm³: 13.8

Lattice parameters (Å, degrees): 6.3111 6.3111 6.3111 29.55 29.55 29.55
Positions (direct):
Pu 0.0000 0.0000 0.0000
B 0.2371 0.2371 0.2371
B 0.7629 0.7629 0.7629
W 0.5000 0.5000 0.5000

(7)
PmPa2C: relaxed, PBE.

E in eV for the cell shown: -32.1
D(E_F) in states/eV per atom: 1.61
Theoretical density in g/cm³: 12.0

Lattice parameters (Å, degrees): 3.1220 3.1220 8.7673 90.00 90.00 90.00
Positions (direct):
Pm 0.0000 0.0000 0.0000
Pa 0.5000 0.5000 0.3378
Pa 0.5000 0.5000 0.6622
C 0.0000 0.0000 0.5000

(8)
ZrNiBRu2: relaxed, PBE.

E in eV for the cell shown: -41.9
D(E_F) in states/eV per atom: 0.81
Theoretical density in g/cm³: 8.9

Lattice parameters (Å, degrees): 4.1644 4.1644 3.8852 90.00 90.00 90.00
Positions (direct):
Zr 0.0000 0.0000 0.0000
Ni 0.5000 0.5000 0.0000
B 0.5000 0.5000 0.5000
Ru 0.0000 0.5000 0.5000
Ru 0.5000 0.0000 0.5000

(9)
Ta2CuTeW: relaxed, PBE.

Formation energy from raw total energies in eV per atom: 1.976
D(E_F) in states/eV per atom: 0.84
Theoretical density in g/cm³: 11.0

Lattice parameters (Å, degrees): 5.0217 5.0217 4.4045 90.00 90.00 90.00
Positions (direct):
Ta 0.0000 0.5000 0.0000
Ta 0.5000 0.0000 0.0000
Cu 0.0000 0.0000 0.5000
Te 0.0000 0.0000 0.0000
W 0.5000 0.5000 0.5000

(10)
RbSr3Si: relaxed, PBE.

Formation energy from raw total energies in eV per atom: 1.261
D(E_F) in states/eV per atom: 1.34
Theoretical density in g/cm³: 2.5

Lattice parameters (Å, degrees): 6.2853 6.2853 6.2853 90.00 90.00 90.00
Positions (direct):
Rb 0.0000 0.0000 0.0000
Sr 0.0000 0.0000 0.5000
Sr 0.0000 0.5000 0.0000
Sr 0.5000 0.0000 0.0000
Si 0.5000 0.5000 0.5000

(11)
AlCu14Au: relaxed, PBE.

E in eV for the cell shown: -65.1
D(E_F) in states/eV per atom: 0.16
Theoretical density in g/cm³: 9.2

Lattice parameters (Å, degrees): 8.4861 5.2279 5.2279 59.80 90.00 90.00
Positions (direct):
Al 0.0000 0.0000 0.0000
Cu 0.0000 0.0006 0.5001
Cu 0.0000 0.5001 0.0006
Cu 0.2525 0.1671 0.1671
Cu 0.2582 0.1612 0.6692
Cu 0.2582 0.6692 0.1612
Cu 0.2585 0.6695 0.6695
Cu 0.5000 0.3322 0.3322
Cu 0.5000 0.3319 0.8351
Cu 0.5000 0.8334 0.8334
Cu 0.5000 0.8351 0.3319
Cu 0.7418 0.1612 0.6692
Cu 0.7418 0.6692 0.1612
Cu 0.7415 0.6695 0.6695
Cu 0.7475 0.1671 0.1671
Au 0.0000 0.5003 0.5003

(12)
Ca2AcZn6: relaxed, PBE.

E in eV for the cell shown: -18.3
D(E_F) in states/eV per atom: 0.66
Theoretical density in g/cm³: 5.5

Lattice parameters (Å, degrees): 7.9300 7.9300 3.8509 90.00 90.00 120.00
Positions (direct):
Ca 0.3333 0.6667 0.0000
Ca 0.6667 0.3333 0.0000
Ac 0.0000 0.0000 0.0000
Zn 0.0000 0.3393 0.5000
Zn 0.0000 0.6607 0.5000
Zn 0.3393 0.0000 0.5000
Zn 0.3393 0.3393 0.5000
Zn 0.6607 0.0000 0.5000
Zn 0.6607 0.6607 0.5000

> Which of these has the lowest theoretical density?

Ba2Li3Mg12Ag

> Which value of theoretical density does entry 4 give?

11.4 g/cm³

> Look up the theoretical density of the second one.

2.3 g/cm³